{
  "formula": "Nd4Pb2C",
  "functional": "PBE",
  "state": "optimized geometry",
  "formation_enthalpy_0k_ev_per_atom": -0.36,
  "de_polymorph_mev_per_atom": 79,
  "energy_ev_per_cell": -76.4,
  "magmom_total_mub_per_cell": 0.00,
  "lattice": [[6.848, 0.000, -0.387], [0.000, 6.972, 0.000], [-2.962, 0.000, 9.232]],
  "species": ["C", "C", "Nd", "Nd", "Nd", "Nd", "Nd", "Nd", "Nd", "Nd", "Pb", "Pb", "Pb", "Pb"],
  "frac_coords": [[0.724, 0.250, 0.802], [0.276, 0.750, 0.198], [0.511, 0.499, 0.270], [0.489, 0.501, 0.730], [0.888, 0.250, 0.061], [0.070, 0.750, 0.347], [0.489, 0.999, 0.730], [0.930, 0.250, 0.653], [0.112, 0.750, 0.939], [0.511, 0.001, 0.270], [0.804, 0.750, 0.579], [0.310, 0.250, 0.964], [0.690, 0.750, 0.036], [0.196, 0.250, 0.421]]
}